First-principles (PBE) data for crystalline Ce4HO3 at its relaxed geometry, as listed in Alexandria via LeMat-Bulk.

Results
The crystal system is cubic.

CIF file:
```
data_Ce4HO3
_cell_length_a 4.982
_cell_length_b 4.982
_cell_length_c 4.982
_cell_angle_alpha 90.00
_cell_angle_beta 90.00
_cell_angle_gamma 90.00
_space_group_name_H-M_alt 'P m -3 m'
_space_group_IT_number 221
_space_group_name_Hall '-P 4 2 3'
loop_
_atom_site_label
_atom_site_type_symbol
_atom_site_fract_x
_atom_site_fract_y
_atom_site_fract_z
Ce1 Ce 0.000 0.000 0.000
Ce2 Ce 0.000 0.500 0.500
H1 H 0.500 0.500 0.500
O1 O 0.000 0.000 0.500
```

First-principles (PBE) data for crystalline KRb6Hg2O at its relaxed geometry, as listed in Alexandria via LeMat-Bulk.

Results
The crystal system is trigonal.

CIF file:
```
data_KRb6Hg2O
_cell_length_a 9.9340
_cell_length_b 9.9340
_cell_length_c 38.7223
_cell_angle_alpha 90.00
_cell_angle_beta 90.00
_cell_angle_gamma 120.00
_space_group_name_H-M_alt 'R -3 m'
_space_group_IT_number 166
_space_group_name_Hall '-R 3 2"'
loop_
_atom_site_label
_atom_site_type_symbol
_atom_site_fract_x
_atom_site_fract_y
_atom_site_fract_z
K1 K 0.0000 0.0000 0.0635
Rb1 Rb 0.0450 0.5225 0.3624
Rb2 Rb 0.0659 0.5329 0.2073
Hg1 Hg 0.0000 0.0000 0.2118
Hg2 Hg 0.0000 0.0000 0.3782
O1 O 0.0000 0.0000 0.0000
O2 O 0.0000 0.0000 0.5000
```

First-principles (PBE) data for crystalline LiH3Pb at its relaxed geometry, as listed in Alexandria via LeMat-Bulk.

Results
The crystal system is cubic. For the energy relative to the lowest polymorph listed for this composition, the calculation gives 169 meV/atom.

CIF file:
```
data_LiH3Pb
_cell_length_a 4.394
_cell_length_b 4.394
_cell_length_c 4.394
_cell_angle_alpha 90.00
_cell_angle_beta 90.00
_cell_angle_gamma 90.00
_space_group_name_H-M_alt 'P m -3 m'
_space_group_IT_number 221
_space_group_name_Hall '-P 4 2 3'
loop_
_atom_site_label
_atom_site_type_symbol
_atom_site_fract_x
_atom_site_fract_y
_atom_site_fract_z
Li1 Li 0.000 0.000 0.000
H1 H 0.000 0.500 0.500
Pb1 Pb 0.500 0.500 0.500
```

First-principles (PBE) data for crystalline Zr2PaTe3 at its relaxed geometry, as listed in Alexandria via LeMat-Bulk.

Results
The crystal system is monoclinic.

CIF file:
```
data_Zr2PaTe3
_cell_length_a 20.986
_cell_length_b 3.765
_cell_length_c 9.226
_cell_angle_alpha 90.00
_cell_angle_beta 104.89
_cell_angle_gamma 90.00
_space_group_name_H-M_alt 'C 1 2/m 1'
_space_group_IT_number 12
_space_group_name_Hall '-C 2y'
loop_
_atom_site_label
_atom_site_type_symbol
_atom_site_fract_x
_atom_site_fract_y
_atom_site_fract_z
Zr1 Zr 0.069 0.000 0.173
Zr2 Zr 0.193 0.500 0.386
Pa1 Pa 0.186 0.500 0.040
Te1 Te 0.061 0.500 0.402
Te2 Te 0.075 0.000 0.861
Te3 Te 0.218 0.500 0.719
```

First-principles (PBE) data for crystalline Tm2Sc2Tl at its relaxed geometry, as listed in Alexandria via LeMat-Bulk.

Results
As for the energy of formation: -0.5 kJ per mole of atoms. The crystal system is monoclinic. For the energy relative to the lowest polymorph listed for this composition, the calculation gives 0 meV/atom.

CIF file:
```
data_Tm2Sc2Tl
_cell_length_a 7.736
_cell_length_b 9.649
_cell_length_c 8.173
_cell_angle_alpha 90.00
_cell_angle_beta 116.90
_cell_angle_gamma 90.00
_space_group_name_H-M_alt 'C 1 2/m 1'
_space_group_IT_number 12
_space_group_name_Hall '-C 2y'
loop_
_atom_site_label
_atom_site_type_symbol
_atom_site_fract_x
_atom_site_fract_y
_atom_site_fract_z
Tm1 Tm 0.178 0.184 0.210
Sc1 Sc 0.101 0.500 0.379
Sc2 Sc 0.243 0.500 0.089
Tl1 Tl 0.000 0.159 0.500
```

First-principles (PBE) data for crystalline LiAc2MoN4 at its relaxed geometry, as listed in Alexandria via LeMat-Bulk.

Results
The crystal system is orthorhombic.

CIF file:
```
data_LiAc2MoN4
_cell_length_a 4.612
_cell_length_b 11.410
_cell_length_c 18.996
_cell_angle_alpha 90.00
_cell_angle_beta 90.00
_cell_angle_gamma 90.00
_space_group_name_H-M_alt 'F d d d'
_space_group_IT_number 70
loop_
_space_group_symop_operation_xyz
'x,y,z'
'-x,-y,-z'
'-x+1/4,-y+1/4,z'
'x+1/4,y+1/4,-z'
'x,-y+1/4,-z+1/4'
'-x,y+1/4,z+1/4'
'-x+1/4,y,-z+1/4'
'x+1/4,-y,z+1/4'
'x,y+1/2,z+1/2'
'-x,-y+1/2,-z+1/2'
'-x+1/4,-y+3/4,z+1/2'
'x+1/4,y+3/4,-z+1/2'
'x,-y+3/4,-z+3/4'
'-x,y+3/4,z+3/4'
'-x+1/4,y+1/2,-z+3/4'
'x+1/4,-y+1/2,z+3/4'
'x+1/2,y,z+1/2'
'-x+1/2,-y,-z+1/2'
'-x+3/4,-y+1/4,z+1/2'
'x+3/4,y+1/4,-z+1/2'
'x+1/2,-y+1/4,-z+3/4'
'-x+1/2,y+1/4,z+3/4'
'-x+3/4,y,-z+3/4'
'x+3/4,-y,z+3/4'
'x+1/2,y+1/2,z'
'-x+1/2,-y+1/2,-z'
'-x+3/4,-y+3/4,z'
'x+3/4,y+3/4,-z'
'x+1/2,-y+3/4,-z+1/4'
'-x+1/2,y+3/4,z+1/4'
'-x+3/4,y+1/2,-z+1/4'
'x+3/4,-y+1/2,z+1/4'
loop_
_atom_site_label
_atom_site_type_symbol
_atom_site_fract_x
_atom_site_fract_y
_atom_site_fract_z
Li1 Li 0.125 0.125 0.125
Ac1 Ac 0.125 0.125 0.298
Mo1 Mo 0.125 0.125 0.625
N1 N 0.120 0.269 0.824
```

Total energy for every record listed, in sequence, given in eV per cell: -59.61, -90.40, -13.98, -156.51, -95.99, -477.20.